No. 1
The following is a PBE calculation of a relaxed Ta2BPdRh crystal, from Alexandria via LeMat-Bulk.

Calculated values
- magnetic moment (μB/cell) = 0.0
- E (Ry per atom) = -0.47074

a = 4.7277 Å, b = 4.7277 Å, c = 4.7642 Å
α = 90.00°, β = 90.00°, γ = 90.00°
Closest atoms and distances in Å follow each position.
Space group P4/mmm (No. 123)
Inequivalent atoms, fractional coordinates:
Ta1 0.0000 0.5000 0.0000 x2  2 Pd 2.36
B1 0.0000 0.0000 0.5000 x1  4 Rh 3.34, 8 Ta 3.36
Pd1 0.5000 0.5000 0.0000 x1  4 Ta 2.36, 2 Rh 2.38
Rh1 0.5000 0.5000 0.5000 x1  2 Pd 2.38

=====

No. 2
The following is a PBE calculation of a relaxed Si3BiAs crystal, from Alexandria via LeMat-Bulk.

Calculated values
- magnetic moment (μB/cell) = 0.0
- E_form (uncorrected) (meV per atom) = 848
- polymorph energy (0 for the lowest one) (meV/atom) = 0

a = 4.8920 Å, b = 4.8920 Å, c = 4.8920 Å
α = 90.00°, β = 90.00°, γ = 90.00°
Closest atoms and distances in Å follow each position.
Space group Pm-3m (No. 221)
Inequivalent atoms, fractional coordinates:
Si1 0.0000 0.0000 0.5000 x3  2 As 2.45
Bi1 0.5000 0.5000 0.5000 x1  12 Si 3.46
As1 0.0000 0.0000 0.0000 x1  6 Si 2.45

=====

No. 3
The following is a PBE calculation of a relaxed NaY2Mn2 crystal, from Alexandria via LeMat-Bulk.

Calculated values
- magnetic moment (μB/cell) = 12.1
- polymorph energy (0 for the lowest one) (meV/atom) = 91

a = 8.6156 Å, b = 8.6156 Å, c = 3.3067 Å
α = 90.00°, β = 90.00°, γ = 90.00°
Closest atoms and distances in Å follow each position.
Space group P4/mbm (No. 127)
Inequivalent atoms, fractional coordinates:
Na1 0.0000 0.0000 0.0000 x2  4 Y 3.20, 2 Na 3.31
Y1 0.1686 0.3314 0.0000 x4  6 Mn 2.98-3.12, 2 Na 3.20, 2 Y 3.31
Mn1 0.1146 0.6146 0.5000 x4  1 Mn 2.79, 6 Y 2.98-3.12

=====

No. 4
The following is a PBE calculation of a relaxed AgTe2Br crystal, from Alexandria via LeMat-Bulk.

Calculated values
- magnetic moment (μB/cell) = 0.0
- E_form (uncorrected) (meV per atom) = 24

a = 4.1190 Å, b = 4.2087 Å, c = 8.2161 Å
α = 90.00°, β = 90.00°, γ = 90.00°
Closest atoms and distances in Å follow each position.
Space group Pmmm (No. 47)
Inequivalent atoms, fractional coordinates:
Ag1 0.0000 0.0000 0.0000 x1  4 Br 2.94
Te1 0.0000 0.5000 0.5000 x1  4 Te 2.94
Te2 0.5000 0.0000 0.5000 x1  4 Te 2.94
Br1 0.5000 0.5000 0.0000 x1  4 Ag 2.94

=====

No. 5
The following is a PBE calculation of a relaxed Y3Ge2Pd crystal, from Alexandria via LeMat-Bulk.

Calculated values
- magnetic moment (μB/cell) = 0.0
- E (Ry per atom) = -0.48060

a = 11.5979 Å, b = 4.3009 Å, c = 11.3397 Å
α = 90.00°, β = 90.00°, γ = 90.00°
Closest atoms and distances in Å follow each position.
Space group Pnma (No. 62)
Inequivalent atoms, fractional coordinates:
Y1 0.0530 0.2500 0.1277 x4  1 Pd 2.92, 5 Ge 2.99-3.15
Y2 0.1230 0.7500 0.5613 x4  3 Pd 3.01-3.03, 5 Ge 3.02-3.16
Y3 0.2174 0.2500 0.8066 x4  2 Pd 2.89, 4 Ge 2.96-3.16
Ge1 0.0102 0.7500 0.3111 x4  2 Pd 2.65, 1 Y 2.96
Ge2 0.1854 0.7500 0.0049 x4  1 Pd 2.62
Pd1 0.1286 0.2500 0.3731 x4  3 Ge 2.62-2.65, 3 Y 2.89-2.92

=====

No. 6
The following is a PBE calculation of a relaxed Te2IrAu crystal, from Alexandria via LeMat-Bulk.

Calculated values
- magnetic moment (μB/cell) = 0.0
- E_form (uncorrected) (meV per atom) = 80
- polymorph energy (0 for the lowest one) (meV/atom) = 236

a = 3.7525 Å, b = 4.3861 Å, c = 11.7380 Å
α = 90.00°, β = 90.00°, γ = 90.00°
Closest atoms and distances in Å follow each position.
Space group Immm (No. 71)
Inequivalent atoms, fractional coordinates:
Te1 0.0000 0.0000 0.1609 x4  2 Ir 2.66, 2 Au 2.89
Ir1 0.0000 0.5000 0.5000 x2  4 Te 2.66, 4 Au 2.89
Au1 0.0000 0.5000 0.0000 x2  4 Ir 2.89, 4 Te 2.89

=====

No. 7
The following is a PBE calculation of a relaxed Cs2In2SnCl6 crystal, from Alexandria via LeMat-Bulk.

Calculated values
- magnetic moment (μB/cell) = 0.0
- E_form (uncorrected) (meV per atom) = -1258

a = 14.2818 Å, b = 8.0599 Å, c = 8.7910 Å
α = 90.00°, β = 118.49°, γ = 90.00°
Closest atoms and distances in Å follow each position.
Space group C2/m (No. 12)
Inequivalent atoms, fractional coordinates:
Cs1 0.2163 0.0000 0.1552 x4  5 Cl 3.40-3.57
In1 0.0681 0.5000 0.2105 x4  3 Cl 2.86-2.91
Sn1 0.0000 0.0000 0.5000 x2  6 Cl 2.82-2.91
Cl1 0.0668 0.2446 0.7757 x8  1 In 2.86, 1 Sn 2.91
Cl2 0.2067 0.0000 0.5346 x4  1 Sn 2.82, 1 In 2.91

=====

No. 8
The following is a PBE calculation of a relaxed CaCo2Au crystal, from Alexandria via LeMat-Bulk.

Calculated values
- magnetic moment (μB/cell) = 0.0
- E (Ry per atom) = -0.33038

a = 4.3081 Å, b = 4.3081 Å, c = 18.0460 Å
α = 90.00°, β = 90.00°, γ = 90.00°
Closest atoms and distances in Å follow each position.
Space group I4_1/amd (No. 141, origin choice 2)
Inequivalent atoms, fractional coordinates:
Ca1 0.0000 0.2500 0.3750 x4  4 Au 3.05, 8 Co 3.30
Co1 0.0000 0.0000 0.0000 x8  2 Co 2.15
Au1 0.0000 0.2500 0.8750 x4  4 Co 2.50

=====

No. 9
The following is a PBE calculation of a relaxed Sm2HoSn crystal, from Alexandria via LeMat-Bulk.

Calculated values
- magnetic moment (μB/cell) = 0.0
- polymorph energy (0 for the lowest one) (meV/atom) = 0

a = 4.8381 Å, b = 4.8381 Å, c = 4.9046 Å
α = 90.00°, β = 90.00°, γ = 90.00°
Closest atoms and distances in Å follow each position.
Space group P4/mmm (No. 123)
Inequivalent atoms, fractional coordinates:
Sm1 0.0000 0.5000 0.0000 x2  4 Sm 3.42, 4 Sn 3.44, 4 Ho 3.44
Ho1 0.0000 0.0000 0.5000 x1  4 Sn 3.42, 8 Sm 3.44
Sn1 0.5000 0.5000 0.5000 x1  4 Ho 3.42, 8 Sm 3.44

=====

No. 10
The following is a PBE calculation of a relaxed CeSm4DyS8 crystal, from Alexandria via LeMat-Bulk.

Calculated values
- magnetic moment (μB/cell) = 5.0
- E_form (uncorrected) (meV per atom) = -1908

a = 8.2520 Å, b = 8.2520 Å, c = 20.0894 Å
α = 90.00°, β = 90.00°, γ = 120.00°
Closest atoms and distances in Å follow each position.
Space group R3m (No. 160, hexagonal axes)
Inequivalent atoms, fractional coordinates:
Ce1 0.0000 0.0000 0.0000 x3  4 S 2.71-2.73
Sm1 0.0000 0.0000 0.2482 x3  4 S 2.67-2.69
Sm2 0.9999 0.5000 0.1241 x9  6 S 2.81-2.84
Dy1 0.0000 0.0000 0.6243 x3  6 S 2.75-2.78
S1 0.0000 0.0000 0.3809 x3  4 Sm 2.67-2.84
S2 0.0000 0.0000 0.8649 x3  1 Ce 2.71, 3 Sm 2.81
S3 0.0302 0.5151 0.3755 x9  1 Ce 2.73, 1 Dy 2.75, 2 Sm 2.81
S4 0.1790 0.3579 0.2070 x9  3 Sm 2.69-2.84, 1 Dy 2.78

=====

No. 11
The following is a PBE calculation of a relaxed RbMnTcMo2 crystal, from Alexandria via LeMat-Bulk.

Calculated values
- magnetic moment (μB/cell) = 0.2
- E (Ry per atom) = -0.35379

a = 4.6176 Å, b = 4.6176 Å, c = 4.5505 Å
α = 90.00°, β = 90.00°, γ = 90.00°
Closest atoms and distances in Å follow each position.
Space group P4/mmm (No. 123)
Inequivalent atoms, fractional coordinates:
Rb1 0.0000 0.0000 0.0000 x1  2 Tc 2.28, 4 Mo 2.31
Mn1 0.5000 0.5000 0.5000 x1  8 Mo 3.24, 4 Tc 3.27
Tc1 0.0000 0.0000 0.5000 x1  2 Rb 2.28
Mo1 0.0000 0.5000 0.0000 x2  2 Rb 2.31

=====

No. 12
The following is a PBE calculation of a relaxed Pr2DyTm2Th2 crystal, from Alexandria via LeMat-Bulk.

Calculated values
- magnetic moment (μB/cell) = 0.0
- E (Ry per atom) = -0.38574

a = 17.7603 Å, b = 3.4787 Å, c = 8.5541 Å
α = 90.00°, β = 117.72°, γ = 90.00°
Closest atoms and distances in Å follow each position.
Space group C2/m (No. 12)
Inequivalent atoms, fractional coordinates:
Pr1 0.1441 0.0000 0.3718 x4  2 Th 3.37-3.57, 2 Pr 3.48, 3 Tm 3.53-3.73, 2 Dy 3.66
Dy1 0.0000 0.5000 0.5000 x2  2 Tm 3.41, 2 Dy 3.48, 4 Th 3.55, 4 Pr 3.66
Tm1 0.2101 0.5000 0.8018 x4  1 Dy 3.41, 4 Tm 3.47-3.48, 3 Th 3.52-3.58, 3 Pr 3.53-3.73
Th1 0.0664 0.0000 0.9050 x4  2 Pr 3.37-3.57, 3 Th 3.43-3.48, 3 Tm 3.52-3.58, 2 Dy 3.55

=====

No. 13
The following is a PBE calculation of a relaxed BeCdCo2 crystal, from Alexandria via LeMat-Bulk.

Calculated values
- magnetic moment (μB/cell) = 5.1
- polymorph energy (0 for the lowest one) (meV/atom) = 272

a = 5.8266 Å, b = 5.8266 Å, c = 5.8266 Å
α = 90.00°, β = 90.00°, γ = 90.00°
Closest atoms and distances in Å follow each position.
Space group Fm-3m (No. 225)
Inequivalent atoms, fractional coordinates:
Be1 0.0000 0.0000 0.0000 x4  8 Co 2.52
Cd1 0.0000 0.0000 0.5000 x4  8 Co 2.52
Co1 0.2500 0.2500 0.2500 x8  4 Cd 2.52, 4 Be 2.52

=====

No. 14
The following is a PBE calculation of a relaxed SrCaBTe2 crystal, from Alexandria via LeMat-Bulk.

Calculated values
- magnetic moment (μB/cell) = 0.0
- E_form (uncorrected) (meV per atom) = -222

a = 5.5242 Å, b = 5.5242 Å, c = 4.6679 Å
α = 90.00°, β = 90.00°, γ = 90.00°
Closest atoms and distances in Å follow each position.
Space group P4/mmm (No. 123)
Inequivalent atoms, fractional coordinates:
Sr1 0.0000 0.0000 0.0000 x1  8 Te 3.62, 4 Ca 3.91
Ca1 0.5000 0.5000 0.0000 x1  2 B 2.33
B1 0.5000 0.5000 0.5000 x1  2 Ca 2.33
Te1 0.0000 0.5000 0.5000 x2  2 B 2.76

=====

No. 15
The following is a PBE calculation of a relaxed Nd3Zn2Pt6 crystal, from Alexandria via LeMat-Bulk.

Calculated values
- magnetic moment (μB/cell) = 0.0
- E (Ry per atom) = -0.42281

a = 9.6603 Å, b = 9.6603 Å, c = 9.6603 Å
α = 90.00°, β = 90.00°, γ = 90.00°
Closest atoms and distances in Å follow each position.
Space group Im-3m (No. 229)
Inequivalent atoms, fractional coordinates:
Nd1 0.0000 0.0000 0.3013 x12  8 Pt 3.05-3.16
Zn1 0.2500 0.2500 0.2500 x8  6 Pt 2.63
Pt1 0.0000 0.3261 0.3261 x24  2 Zn 2.63, 4 Pt 2.79

=====

No. 16
The following is a PBE calculation of a relaxed Na2LiTi crystal, from Alexandria via LeMat-Bulk.

Calculated values
- magnetic moment (μB/cell) = 11.7
- polymorph energy (0 for the lowest one) (meV/atom) = 31

a = 8.2947 Å, b = 8.2947 Å, c = 6.1535 Å
α = 90.00°, β = 90.00°, γ = 90.00°
Closest atoms and distances in Å follow each position.
Space group I-42d (No. 122)
Inequivalent atoms, fractional coordinates:
Na1 0.2215 0.2500 0.1250 x8  2 Li 2.88, 2 Na 3.11, 2 Ti 3.20
Li1 0.0000 0.0000 0.0000 x4  4 Na 2.88, 2 Ti 3.08
Ti1 0.0000 0.0000 0.5000 x4  2 Li 3.08, 4 Na 3.20

=====

No. 17
The following is a PBE calculation of a relaxed Pr2Mg16Tl crystal, from Alexandria via LeMat-Bulk.

Calculated values
- magnetic moment (μB/cell) = 0.0
- E (Ry per atom) = -0.15053

a = 10.3114 Å, b = 10.3114 Å, c = 15.2356 Å
α = 90.00°, β = 90.00°, γ = 120.00°
Closest atoms and distances in Å follow each position.
Space group R3m (No. 160, hexagonal axes)
Inequivalent atoms, fractional coordinates:
Pr1 0.0000 0.0000 0.0000 x3  16 Mg 3.58-3.83
Pr2 0.0000 0.0000 0.3441 x3  1 Tl 3.43, 9 Mg 3.59-3.79
Mg1 0.0000 0.0000 0.7649 x3  1 Tl 2.98, 6 Mg 3.17-3.30
Mg2 0.9999 0.3055 0.6737 x18  8 Mg 2.99-3.18
Mg3 0.0159 0.5080 0.8276 x9  8 Mg 2.91-3.18
Mg4 0.1680 0.3359 0.5067 x9  9 Mg 2.99-3.17, 1 Tl 3.15
Mg5 0.1688 0.3376 0.8531 x9  8 Mg 2.91-3.17
Tl1 0.0000 0.0000 0.5695 x3  7 Mg 2.98-3.32

=====

No. 18
The following is a PBE calculation of a relaxed Ti6Al2N crystal, from Alexandria via LeMat-Bulk.

Calculated values
- magnetic moment (μB/cell) = 0.0
- E_form (uncorrected) (meV per atom) = -463
- polymorph energy (0 for the lowest one) (meV/atom) = 170

a = 3.0671 Å, b = 12.2255 Å, c = 7.2153 Å
α = 90.00°, β = 90.00°, γ = 90.00°
Closest atoms and distances in Å follow each position.
Space group Amm2 (No. 38)
Inequivalent atoms, fractional coordinates:
Ti1 0.0000 0.0000 0.0000 x2  2 N 2.13
Ti2 0.0000 0.1108 0.6401 x4  2 N 2.33
Ti3 0.5000 0.0000 0.3440 x2  4 Al 2.68, 6 Ti 2.92-2.96
Ti4 0.5000 0.1897 0.9481 x4  1 N 2.57, 4 Al 2.67-2.71, 4 Ti 2.81-2.87
Al1 0.0000 0.1723 0.2558 x4  9 Ti 2.67-2.87
N1 0.5000 0.0000 0.7946 x2  6 Ti 2.13-2.33

=====

No. 19
The following is a PBE calculation of a relaxed SmAl3Ga3 crystal, from Alexandria via LeMat-Bulk.

Calculated values
- magnetic moment (μB/cell) = 0.0
- polymorph energy (0 for the lowest one) (meV/atom) = 295

a = 11.9480 Å, b = 11.9480 Å, c = 11.9480 Å
α = 90.00°, β = 90.00°, γ = 90.00°
Closest atoms and distances in Å follow each position.
Space group Fm-3m (No. 225)
Inequivalent atoms, fractional coordinates:
Sm1 0.2500 0.2500 0.2500 x8  12 Al 4.38, 12 Ga 4.39
Al1 0.0000 0.0000 0.1538 x24  1 Ga 2.33, 4 Al 2.60
Ga1 0.0000 0.0000 0.3487 x24  1 Al 2.33, 4 Ga 2.56

=====

No. 20
The following is a PBE calculation of a relaxed PuTl2I2O2 crystal, from Alexandria via LeMat-Bulk.

Calculated values
- magnetic moment (μB/cell) = 8.0
- E_form (uncorrected) (meV per atom) = -1428

a = 4.4458 Å, b = 4.4458 Å, c = 20.2228 Å
α = 90.00°, β = 90.00°, γ = 90.00°
Closest atoms and distances in Å follow each position.
Space group I4/mmm (No. 139)
Inequivalent atoms, fractional coordinates:
Pu1 0.0000 0.0000 0.0000 x2  4 O 2.22
Tl1 0.0000 0.0000 0.3936 x4  4 O 3.09, 4 I 3.35
I1 0.0000 0.0000 0.1635 x4  1 Pu 3.31, 4 Tl 3.35
O1 0.0000 0.5000 0.0000 x4  2 Pu 2.22

=====

No. 21
The following is a PBE calculation of a relaxed AsOsCl2 crystal, from Alexandria via LeMat-Bulk.

Calculated values
- magnetic moment (μB/cell) = 0.2
- E_form (uncorrected) (meV per atom) = 388
- polymorph energy (0 for the lowest one) (meV/atom) = 462

a = 3.0155 Å, b = 3.0155 Å, c = 8.7080 Å
α = 90.00°, β = 90.00°, γ = 90.00°
Closest atoms and distances in Å follow each position.
Space group P4mm (No. 99)
Inequivalent atoms, fractional coordinates:
As1 0.0000 0.0000 0.0000 x1  4 Os 2.60
Os1 0.5000 0.5000 0.8285 x1  4 As 2.60, 4 Cl 2.72
Cl1 0.0000 0.0000 0.6339 x1  4 Os 2.72, 4 Cl 3.02
Cl2 0.5000 0.5000 0.2618 x1  4 Cl 3.02, 4 As 3.12

=====

No. 22
The following is a PBE calculation of a relaxed TaHSe2N crystal, from Alexandria via LeMat-Bulk.

Calculated values
- magnetic moment (μB/cell) = 1.4
- polymorph energy (0 for the lowest one) (meV/atom) = 0

a = 5.0951 Å, b = 5.0951 Å, c = 3.9982 Å
α = 90.00°, β = 90.00°, γ = 90.00°
Closest atoms and distances in Å follow each position.
Space group P4/mmm (No. 123)
Inequivalent atoms, fractional coordinates:
Ta1 0.0000 0.0000 0.0000 x1  2 N 2.00
H1 0.5000 0.5000 0.5000 x1  8 Se 3.24, 4 N 3.60
Se1 0.0000 0.5000 0.0000 x2  2 Ta 2.55
N1 0.0000 0.0000 0.5000 x1  2 Ta 2.00

=====

No. 23
The following is a PBE calculation of a relaxed MgRhIO2 crystal, from Alexandria via LeMat-Bulk.

Calculated values
- magnetic moment (μB/cell) = 1.3
- E_form (uncorrected) (meV per atom) = -111
- polymorph energy (0 for the lowest one) (meV/atom) = 145

a = 3.8608 Å, b = 3.8608 Å, c = 6.3247 Å
α = 90.00°, β = 90.00°, γ = 90.00°
Closest atoms and distances in Å follow each position.
Space group P4/mmm (No. 123)
Inequivalent atoms, fractional coordinates:
Mg1 0.0000 0.0000 0.0000 x1  4 O 1.93
Rh1 0.5000 0.5000 0.5000 x1  4 I 2.73
I1 0.0000 0.0000 0.5000 x1  4 Rh 2.73
O1 0.0000 0.5000 0.0000 x2  2 Mg 1.93

=====

No. 24
The following is a PBE calculation of a relaxed BaMnRh crystal, from Alexandria via LeMat-Bulk.

Calculated values
- magnetic moment (μB/cell) = 0.0
- E (Ry per atom) = -0.42513

a = 4.0213 Å, b = 4.0213 Å, c = 10.5244 Å
α = 90.00°, β = 90.00°, γ = 120.00°
Closest atoms and distances in Å follow each position.
Space group P6_3/mmc (No. 194)
Inequivalent atoms, fractional coordinates:
Ba1 0.0000 0.0000 0.0000 x2  6 Mn 3.51, 6 Rh 3.51
Mn1 0.3333 0.6667 0.2500 x2  3 Rh 2.32
Rh1 0.3333 0.6667 0.7500 x2  3 Mn 2.32